Entry from the Alexandria database: crystalline Y4CS2O at its relaxed geometry (GGA-PBE).

Calculated values
symmetry: P2/m, No. 10
density: 5.07 g cm⁻³
formation energy without anion corrections: -1.867 eV/atom

Lattice parameters (Å, degrees): 3.688 6.346 6.613 108.73 90.00 90.00
Sites, in units of the cell vectors:
Y1 0.000 0.747 0.215
S1 0.500 0.000 0.500
S2 0.000 0.500 0.500
Y2 0.500 0.234 0.213
Y3 0.500 0.766 0.787
O1 0.500 0.500 0.000
Y4 0.000 0.253 0.785
C1 0.000 0.000 0.000